A | # Dy6Tm3Th | Alexandria via LeMat-Bulk | PBE | optimized geometry
data_Dy6Tm3Th
_chemical_formula_sum 'Dy18 Tm9 Th3'
_cell_length_a 9.7312
_cell_length_b 9.7312
_cell_length_c 11.8270
_cell_angle_alpha 90.00
_cell_angle_beta 90.00
_cell_angle_gamma 120.00
_space_group_name_H-M_alt 'R 3 2'
_space_group_IT_number 155
_space_group_name_Hall 'R 3 2"'
loop_
_atom_site_label
_atom_site_type_symbol
_atom_site_fract_x
_atom_site_fract_y
_atom_site_fract_z
Dy1 Dy 0.0000 0.3340 0.0000
Dy2 Dy 0.0000 0.6637 0.5000
Tm1 Tm 0.0000 0.0000 0.2579
Tm2 Tm 0.0000 0.0000 0.5000
Th1 Th 0.0000 0.0000 0.0000
# calculated volume: 323 Å³/f.u.
# density of states at the Fermi level: 54.72 states/eV/cell

---

B | # Dy6Tm3Th | Alexandria via LeMat-Bulk | PBE | optimized geometry
data_Dy6Tm3Th
_chemical_formula_sum 'Dy24 Tm12 Th4'
_cell_length_a 7.362
_cell_length_b 18.585
_cell_length_c 9.285
_cell_angle_alpha 90.00
_cell_angle_beta 90.00
_cell_angle_gamma 90.00
_space_group_name_H-M_alt 'C m c 21'
_space_group_IT_number 36
loop_
_space_group_symop_operation_xyz
'x,y,z'
'-x,-y,z+1/2'
'-x,y,z'
'x,-y,z+1/2'
'x+1/2,y+1/2,z'
'-x+1/2,-y+1/2,z+1/2'
'-x+1/2,y+1/2,z'
'x+1/2,-y+1/2,z+1/2'
loop_
_atom_site_label
_atom_site_type_symbol
_atom_site_fract_x
_atom_site_fract_y
_atom_site_fract_z
Dy1 Dy 0.000 0.038 0.000
Dy2 Dy 0.000 0.289 0.156
Dy3 Dy 0.246 0.313 0.459
Dy4 Dy 0.247 0.440 0.205
Tm1 Tm 0.000 0.462 0.502
Tm2 Tm 0.250 0.124 0.329
Th1 Th 0.000 0.210 0.660
# calculated volume: 318 Å³/f.u.
# density of states at the Fermi level: 41.90 states/eV/cell

---

Stability ranking, top entry: B; the second entry is 14.9 kJ/mol of atoms less favorable.

---

A | # Dy2Tm2Th | Alexandria via LeMat-Bulk | PBE | optimized geometry
data_Dy2Tm2Th
_chemical_formula_sum 'Dy8 Tm8 Th4'
_cell_length_a 15.945
_cell_length_b 6.021
_cell_length_c 6.766
_cell_angle_alpha 90.00
_cell_angle_beta 102.91
_cell_angle_gamma 90.00
_space_group_name_H-M_alt 'C 1 2/c 1'
_space_group_IT_number 15
loop_
_space_group_symop_operation_xyz
'x,y,z'
'-x,-y,-z'
'-x,y,-z+1/2'
'x,-y,z+1/2'
'x+1/2,y+1/2,z'
'-x+1/2,-y+1/2,-z'
'-x+1/2,y+1/2,-z+1/2'
'x+1/2,-y+1/2,z+1/2'
loop_
_atom_site_label
_atom_site_type_symbol
_atom_site_fract_x
_atom_site_fract_y
_atom_site_fract_z
Dy1 Dy 0.195 0.050 0.082
Tm1 Tm 0.095 0.423 0.654
Th1 Th 0.000 0.071 0.250
# calculated volume: 158 Å³/f.u.
# density of states at the Fermi level: 28.02 states/eV/cell

---

B | # Dy2Tm2Th | Alexandria via LeMat-Bulk | PBE | optimized geometry
data_Dy2Tm2Th
_chemical_formula_sum 'Dy2 Tm2 Th1'
_cell_length_a 5.322
_cell_length_b 3.483
_cell_length_c 8.765
_cell_angle_alpha 90.00
_cell_angle_beta 107.62
_cell_angle_gamma 90.00
_space_group_name_H-M_alt 'P 1 2/m 1'
_space_group_IT_number 10
loop_
_space_group_symop_operation_xyz
'x,y,z'
'-x,-y,-z'
'-x,y,-z'
'x,-y,z'
loop_
_atom_site_label
_atom_site_type_symbol
_atom_site_fract_x
_atom_site_fract_y
_atom_site_fract_z
Dy1 Dy 0.199 0.000 0.399
Tm1 Tm 0.394 0.500 0.787
Th1 Th 0.000 0.000 0.000
# calculated volume: 155 Å³/f.u.
# density of states at the Fermi level: 6.29 states/eV/cell

---

Stability ranking, top entry: B; the second entry is 3.6 kJ/mol of atoms less favorable.

---

A | # Dy7TmTh2 | Alexandria via LeMat-Bulk | PBE | optimized geometry
data_Dy7TmTh2
_chemical_formula_sum 'Dy14 Tm2 Th4'
_cell_length_a 11.933
_cell_length_b 16.568
_cell_length_c 3.488
_cell_angle_alpha 90.00
_cell_angle_beta 90.00
_cell_angle_gamma 90.00
_space_group_name_H-M_alt 'C m m m'
_space_group_IT_number 65
_space_group_name_Hall '-C 2 2'
loop_
_atom_site_label
_atom_site_type_symbol
_atom_site_fract_x
_atom_site_fract_y
_atom_site_fract_z
Dy1 Dy 0.000 0.000 0.000
Dy2 Dy 0.000 0.168 0.500
Dy3 Dy 0.242 0.126 0.000
Tm1 Tm 0.000 0.500 0.500
Th1 Th 0.000 0.327 0.000
# calculated volume: 345 Å³/f.u.
# density of states at the Fermi level: 30.01 states/eV/cell

---

B | # Dy7TmTh2 | Alexandria via LeMat-Bulk | PBE | optimized geometry
data_Dy7TmTh2
_chemical_formula_sum 'Dy14 Tm2 Th4'
_cell_length_a 8.682
_cell_length_b 16.630
_cell_length_c 5.479
_cell_angle_alpha 90.00
_cell_angle_beta 90.00
_cell_angle_gamma 90.00
_space_group_name_H-M_alt 'C m m m'
_space_group_IT_number 65
_space_group_name_Hall '-C 2 2'
loop_
_atom_site_label
_atom_site_type_symbol
_atom_site_fract_x
_atom_site_fract_y
_atom_site_fract_z
Dy1 Dy 0.000 0.000 0.000
Dy2 Dy 0.000 0.293 0.500
Dy3 Dy 0.176 0.391 0.000
Tm1 Tm 0.000 0.500 0.500
Th1 Th 0.000 0.205 0.000
# calculated volume: 396 Å³/f.u.
# density of states at the Fermi level: 29.88 states/eV/cell

---

Stability ranking, top entry: A; the second entry is 29.5 kJ/mol of atoms less favorable.

---

A | # Dy7Tm12Th | Alexandria via LeMat-Bulk | PBE | optimized geometry
data_Dy7Tm12Th
_chemical_formula_sum 'Dy21 Tm36 Th3'
_cell_length_a 12.0758
_cell_length_b 12.0758
_cell_length_c 15.1934
_cell_angle_alpha 90.00
_cell_angle_beta 90.00
_cell_angle_gamma 120.00
_space_group_name_H-M_alt 'R -3'
_space_group_IT_number 148
_space_group_name_Hall '-R 3'
loop_
_atom_site_label
_atom_site_type_symbol
_atom_site_fract_x
_atom_site_fract_y
_atom_site_fract_z
Dy1 Dy 0.0000 0.0000 0.0000
Dy2 Dy 0.0386 0.8523 0.3054
Tm1 Tm 0.0123 0.5666 0.2032
Tm2 Tm 0.0563 0.4695 0.5889
Th1 Th 0.0000 0.0000 0.5000
# calculated volume: 640 Å³/f.u.
# density of states at the Fermi level: 125.47 states/eV/cell

---

B | # Dy7Tm12Th | Alexandria via LeMat-Bulk | PBE | optimized geometry
data_Dy7Tm12Th
_chemical_formula_sum 'Dy14 Tm24 Th2'
_cell_length_a 11.117
_cell_length_b 11.117
_cell_length_c 11.117
_cell_angle_alpha 90.00
_cell_angle_beta 90.00
_cell_angle_gamma 90.00
_space_group_name_H-M_alt 'I m -3 m'
_space_group_IT_number 229
_space_group_name_Hall '-I 4 2 3'
loop_
_atom_site_label
_atom_site_type_symbol
_atom_site_fract_x
_atom_site_fract_y
_atom_site_fract_z
Dy1 Dy 0.000 0.000 0.500
Dy2 Dy 0.250 0.250 0.250
Tm1 Tm 0.000 0.247 0.247
Th1 Th 0.000 0.000 0.000
# calculated volume: 687 Å³/f.u.
# density of states at the Fermi level: 57.46 states/eV/cell

---

Stability ranking, top entry: A; the second entry is 51.1 kJ/mol of atoms less favorable.

---

A | # Dy4Tm3Th | Alexandria via LeMat-Bulk | PBE | optimized geometry
data_Dy4Tm3Th
_chemical_formula_sum 'Dy8 Tm6 Th2'
_cell_length_a 23.219
_cell_length_b 3.433
_cell_length_c 6.658
_cell_angle_alpha 90.00
_cell_angle_beta 106.62
_cell_angle_gamma 90.00
_space_group_name_H-M_alt 'C 1 2/m 1'
_space_group_IT_number 12
loop_
_space_group_symop_operation_xyz
'x,y,z'
'-x,-y,-z'
'-x,y,-z'
'x,-y,z'
'x+1/2,y+1/2,z'
'-x+1/2,-y+1/2,-z'
'-x+1/2,y+1/2,-z'
'x+1/2,-y+1/2,z'
loop_
_atom_site_label
_atom_site_type_symbol
_atom_site_fract_x
_atom_site_fract_y
_atom_site_fract_z
Dy1 Dy 0.124 0.000 0.366
Dy2 Dy 0.241 0.500 0.238
Tm1 Tm 0.000 0.000 0.500
Tm2 Tm 0.124 0.000 0.884
Th1 Th 0.000 0.500 0.000
# calculated volume: 254 Å³/f.u.
# density of states at the Fermi level: 27.44 states/eV/cell

---

B | # Dy4Tm3Th | Alexandria via LeMat-Bulk | PBE | optimized geometry
data_Dy4Tm3Th
_chemical_formula_sum 'Dy8 Tm6 Th2'
_cell_length_a 11.256
_cell_length_b 7.201
_cell_length_c 6.211
_cell_angle_alpha 90.00
_cell_angle_beta 90.00
_cell_angle_gamma 90.00
_space_group_name_H-M_alt 'P m n 21'
_space_group_IT_number 31
loop_
_space_group_symop_operation_xyz
'x,y,z'
'-x+1/2,-y,z+1/2'
'-x,y,z'
'x+1/2,-y,z+1/2'
loop_
_atom_site_label
_atom_site_type_symbol
_atom_site_fract_x
_atom_site_fract_y
_atom_site_fract_z
Dy1 Dy 0.000 0.127 0.000
Dy2 Dy 0.000 0.870 0.504
Dy3 Dy 0.249 0.127 0.343
Tm1 Tm 0.000 0.378 0.503
Tm2 Tm 0.249 0.379 0.833
Th1 Th 0.000 0.624 0.004
# calculated volume: 252 Å³/f.u.
# density of states at the Fermi level: 26.05 states/eV/cell

---

Stability ranking, top entry: B; the second entry is 15.4 kJ/mol of atoms less favorable.

---

A | # DyTm6Th2 | Alexandria via LeMat-Bulk | PBE | optimized geometry
data_DyTm6Th2
_chemical_formula_sum 'Dy4 Tm24 Th8'
_cell_length_a 16.039
_cell_length_b 11.568
_cell_length_c 6.034
_cell_angle_alpha 90.00
_cell_angle_beta 97.74
_cell_angle_gamma 90.00
_space_group_name_H-M_alt 'C 1 2/c 1'
_space_group_IT_number 15
loop_
_space_group_symop_operation_xyz
'x,y,z'
'-x,-y,-z'
'-x,y,-z+1/2'
'x,-y,z+1/2'
'x+1/2,y+1/2,z'
'-x+1/2,-y+1/2,-z'
'-x+1/2,y+1/2,-z+1/2'
'x+1/2,-y+1/2,z+1/2'
loop_
_atom_site_label
_atom_site_type_symbol
_atom_site_fract_x
_atom_site_fract_y
_atom_site_fract_z
Dy1 Dy 0.000 0.133 0.250
Tm1 Tm 0.056 0.378 0.536
Tm2 Tm 0.111 0.125 0.804
Tm3 Tm 0.224 0.123 0.367
Th1 Th 0.167 0.371 0.085
# calculated volume: 277 Å³/f.u.
# density of states at the Fermi level: 56.17 states/eV/cell

---

B | # DyTm6Th2 | Alexandria via LeMat-Bulk | PBE | optimized geometry
data_DyTm6Th2
_chemical_formula_sum 'Dy4 Tm24 Th8'
_cell_length_a 12.531
_cell_length_b 14.181
_cell_length_c 6.536
_cell_angle_alpha 90.00
_cell_angle_beta 102.14
_cell_angle_gamma 90.00
_space_group_name_H-M_alt 'C 1 2/c 1'
_space_group_IT_number 15
loop_
_space_group_symop_operation_xyz
'x,y,z'
'-x,-y,-z'
'-x,y,-z+1/2'
'x,-y,z+1/2'
'x+1/2,y+1/2,z'
'-x+1/2,-y+1/2,-z'
'-x+1/2,y+1/2,-z+1/2'
'x+1/2,-y+1/2,z+1/2'
loop_
_atom_site_label
_atom_site_type_symbol
_atom_site_fract_x
_atom_site_fract_y
_atom_site_fract_z
Dy1 Dy 0.000 0.113 0.250
Tm1 Tm 0.036 0.309 0.006
Tm2 Tm 0.137 0.090 0.815
Tm3 Tm 0.241 0.303 0.727
Th1 Th 0.135 0.476 0.379
# calculated volume: 284 Å³/f.u.
# density of states at the Fermi level: 52.09 states/eV/cell

---

Stability ranking, top entry: A; the second entry is 1.8 kJ/mol of atoms less favorable.

---

A | # Dy12Tm7Th | Alexandria via LeMat-Bulk | PBE | optimized geometry
data_Dy12Tm7Th
_chemical_formula_sum 'Dy24 Tm14 Th2'
_cell_length_a 11.247
_cell_length_b 11.247
_cell_length_c 11.247
_cell_angle_alpha 90.00
_cell_angle_beta 90.00
_cell_angle_gamma 90.00
_space_group_name_H-M_alt 'I m -3'
_space_group_IT_number 204
_space_group_name_Hall '-I 2 2 3'
loop_
_atom_site_label
_atom_site_type_symbol
_atom_site_fract_x
_atom_site_fract_y
_atom_site_fract_z
Dy1 Dy 0.000 0.246 0.247
Tm1 Tm 0.000 0.000 0.500
Tm2 Tm 0.250 0.250 0.250
Th1 Th 0.000 0.000 0.000
# calculated volume: 711 Å³/f.u.
# density of states at the Fermi level: 51.90 states/eV/cell

---

B | # Dy12Tm7Th | Alexandria via LeMat-Bulk | PBE | optimized geometry
data_Dy12Tm7Th
_chemical_formula_sum 'Dy36 Tm21 Th3'
_cell_length_a 12.1149
_cell_length_b 12.1149
_cell_length_c 15.1642
_cell_angle_alpha 90.00
_cell_angle_beta 90.00
_cell_angle_gamma 120.00
_space_group_name_H-M_alt 'R -3'
_space_group_IT_number 148
_space_group_name_Hall '-R 3'
loop_
_atom_site_label
_atom_site_type_symbol
_atom_site_fract_x
_atom_site_fract_y
_atom_site_fract_z
Dy1 Dy 0.0144 0.5703 0.2048
Dy2 Dy 0.0572 0.4699 0.5888
Tm1 Tm 0.0000 0.0000 0.0000
Tm2 Tm 0.0415 0.8562 0.3055
Th1 Th 0.0000 0.0000 0.5000
# calculated volume: 642 Å³/f.u.
# density of states at the Fermi level: 114.99 states/eV/cell

---

Stability ranking, top entry: B; the second entry is 50.3 kJ/mol of atoms less favorable.

---

A | # Dy8TmTh2 | Alexandria via LeMat-Bulk | PBE | optimized geometry
data_Dy8TmTh2
_chemical_formula_sum 'Dy16 Tm2 Th4'
_cell_length_a 18.773
_cell_length_b 7.014
_cell_length_c 5.594
_cell_angle_alpha 90.00
_cell_angle_beta 92.12
_cell_angle_gamma 90.00
_space_group_name_H-M_alt 'C 1 2/m 1'
_space_group_IT_number 12
loop_
_space_group_symop_operation_xyz
'x,y,z'
'-x,-y,-z'
'-x,y,-z'
'x,-y,z'
'x+1/2,y+1/2,z'
'-x+1/2,-y+1/2,-z'
'-x+1/2,y+1/2,-z'
'x+1/2,-y+1/2,z'
loop_
_atom_site_label
_atom_site_type_symbol
_atom_site_fract_x
_atom_site_fract_y
_atom_site_fract_z
Dy1 Dy 0.047 0.000 0.237
Dy2 Dy 0.130 0.230 0.738
Dy3 Dy 0.181 0.500 0.233
Tm1 Tm 0.000 0.500 0.000
Th1 Th 0.219 0.000 0.262
# calculated volume: 368 Å³/f.u.
# density of states at the Fermi level: 33.30 states/eV/cell

---

B | # Dy8TmTh2 | Alexandria via LeMat-Bulk | PBE | optimized geometry
data_Dy8TmTh2
_chemical_formula_sum 'Dy16 Tm2 Th4'
_cell_length_a 16.633
_cell_length_b 6.593
_cell_length_c 6.620
_cell_angle_alpha 90.00
_cell_angle_beta 100.00
_cell_angle_gamma 90.00
_space_group_name_H-M_alt 'C 1 2/m 1'
_space_group_IT_number 12
loop_
_space_group_symop_operation_xyz
'x,y,z'
'-x,-y,-z'
'-x,y,-z'
'x,-y,z'
'x+1/2,y+1/2,z'
'-x+1/2,-y+1/2,-z'
'-x+1/2,y+1/2,-z'
'x+1/2,-y+1/2,z'
loop_
_atom_site_label
_atom_site_type_symbol
_atom_site_fract_x
_atom_site_fract_y
_atom_site_fract_z
Dy1 Dy 0.086 0.240 0.401
Dy2 Dy 0.091 0.000 0.904
Dy3 Dy 0.198 0.500 0.816
Tm1 Tm 0.000 0.500 0.000
Th1 Th 0.247 0.500 0.335
# calculated volume: 357 Å³/f.u.
# density of states at the Fermi level: 31.16 states/eV/cell

---

Stability ranking, top entry: B; the second entry is 1.6 kJ/mol of atoms less favorable.

---

A | # Dy3Tm5Th3 | Alexandria via LeMat-Bulk | PBE | optimized geometry
data_Dy3Tm5Th3
_chemical_formula_sum 'Dy6 Tm10 Th6'
_cell_length_a 18.031
_cell_length_b 4.996
_cell_length_c 7.900
_cell_angle_alpha 90.00
_cell_angle_beta 105.37
_cell_angle_gamma 90.00
_space_group_name_H-M_alt 'C 1 m 1'
_space_group_IT_number 8
loop_
_space_group_symop_operation_xyz
'x,y,z'
'x,-y,z'
'x+1/2,y+1/2,z'
'x+1/2,-y+1/2,z'
loop_
_atom_site_label
_atom_site_type_symbol
_atom_site_fract_x
_atom_site_fract_y
_atom_site_fract_z
Dy1 Dy 0.000 0.000 0.000
Dy2 Dy 0.044 0.500 0.722
Dy3 Dy 0.226 0.500 0.634
Tm1 Tm 0.090 0.000 0.449
Tm2 Tm 0.136 0.500 0.175
Tm3 Tm 0.317 0.500 0.089
Tm4 Tm 0.362 0.000 0.816
Tm5 Tm 0.409 0.500 0.538
Th1 Th 0.183 0.000 0.907
Th2 Th 0.273 0.000 0.360
Th3 Th 0.451 0.000 0.265
# calculated volume: 343 Å³/f.u.
# density of states at the Fermi level: 32.05 states/eV/cell

---

B | # Dy3Tm5Th3 | Alexandria via LeMat-Bulk | PBE | optimized geometry
data_Dy3Tm5Th3
_chemical_formula_sum 'Dy3 Tm5 Th3'
_cell_length_a 11.1298
_cell_length_b 11.1298
_cell_length_c 3.3927
_cell_angle_alpha 90.00
_cell_angle_beta 90.00
_cell_angle_gamma 120.00
_space_group_name_H-M_alt 'P -6 2 m'
_space_group_IT_number 189
_space_group_name_Hall 'P -6 -2'
loop_
_atom_site_label
_atom_site_type_symbol
_atom_site_fract_x
_atom_site_fract_y
_atom_site_fract_z
Dy1 Dy 0.0000 0.4072 0.0000
Tm1 Tm 0.0000 0.1599 0.5000
Tm2 Tm 0.3333 0.6667 0.5000
Th1 Th 0.0000 0.6619 0.5000
# calculated volume: 364 Å³/f.u.
# density of states at the Fermi level: 15.84 states/eV/cell

---

Stability ranking, top entry: A; the second entry is 34.2 kJ/mol of atoms less favorable.